Entry 1:
Here is CrFeSe2 after structural relaxation from the Alexandria database. Energies are from GGA-PBE.

Cell lengths 4.703, 4.046, 4.041 Å; angles 75.24, 90.00, 90.00 degrees
Fractional positions:
Se  0.000  0.884  0.885
Cr  0.000  0.498  0.499
Se  0.500  0.364  0.363
Fe  0.500  0.754  0.753

Computed properties:
* final energy: -6.363 eV/atom
* distance to the lowest polymorph of the same formula: 0.094 eV per atom
* SG: No. 38
* D(E_F): 4.26 states/eV/cell

Entry 2:
Here is TiAg2Os after structural relaxation from the Alexandria database. Energies are from GGA-PBE.

Cell lengths 4.527, 4.527, 4.527 Å; angles 60.00, 60.00, 60.00 degrees
Fractional positions:
Os  0.500  0.500  0.500
Ag  0.250  0.250  0.250
Ti  0.000  0.000  0.000
Ag  0.750  0.750  0.750

Computed properties:
* final energy: -5.648 eV/atom
* distance to the lowest polymorph of the same formula: 0.072 eV per atom
* energy of formation from the pure elements: 2.235 eV/f.u.
* SG: No. 225
* D(E_F): 5.37 states/eV/cell

Entry 3:
Here is CaIn6Hg8 after structural relaxation from the Alexandria database. Energies are from GGA-PBE.

Cell lengths 7.514, 7.514, 7.514 Å; angles 81.31, 81.31, 81.31 degrees
Fractional positions:
In  0.413  0.196  0.580
Hg  0.216  0.216  0.216
In  0.804  0.420  0.587
Hg  0.395  0.838  0.088
Hg  0.162  0.912  0.605
Hg  0.912  0.605  0.162
In  0.580  0.413  0.196
Hg  0.088  0.395  0.838
Hg  0.784  0.784  0.784
Ca  0.000  0.000  0.000
Hg  0.605  0.162  0.912
In  0.420  0.587  0.804
In  0.587  0.804  0.420
In  0.196  0.580  0.413
Hg  0.838  0.088  0.395

Computed properties:
* final energy: -1.453 eV/atom
* energy of formation from the pure elements: -0.945 eV/f.u.
* SG: No. 148
* D(E_F): 5.62 states/eV/cell

Entry 4:
Here is LiTl3Cr2Cl9 after structural relaxation from the Alexandria database. Energies are from GGA-PBE.

Cell lengths 7.009, 7.009, 8.608 Å; angles 90.00, 90.00, 120.00 degrees
Fractional positions:
Cr  0.333  0.667  0.168
Cr  0.667  0.333  0.832
Cl  0.828  0.172  0.676
Li  0.000  0.000  0.500
Cl  0.172  0.828  0.324
Tl  0.667  0.333  0.349
Cl  0.343  0.172  0.676
Tl  0.000  0.000  0.000
Cl  0.657  0.828  0.324
Cl  0.828  0.657  0.676
Cl  0.172  0.343  0.324
Cl  0.500  0.500  0.000
Tl  0.333  0.667  0.651
Cl  0.000  0.500  0.000
Cl  0.500  0.000  0.000

Computed properties:
* final energy: -4.115 eV/atom
* SG: No. 164
* D(E_F): 5.16 states/eV/cell